1.
Below is an optimized crystal structure of LaPrCd6, with properties calculated at the PBE level.

Results
Calculated volume: 25.017 Å³ per atom
Energy relative to the elements: -0.33 eV per atom
Excess energy over the best structure of this formula in the dataset: 0.000 eV per formula unit

a b c (Å): 5.217 7.353 5.218
angles (deg): 90.00 90.00 90.00
Sites, in units of the cell vectors:
La (0.000, 0.000, 0.000)
Pr (0.500, 0.500, 0.509)
Cd (0.000, 0.251, 0.499)
Cd (0.000, 0.500, 0.001)
Cd (0.000, 0.749, 0.499)
Cd (0.500, 0.000, 0.508)
Cd (0.500, 0.251, 0.009)
Cd (0.500, 0.749, 0.009)

***

2.
Below is an optimized crystal structure of LaPrCd6, with properties calculated at the PBE level.

Results
Calculated volume: 24.998 Å³ per atom
Energy relative to the elements: -0.33 eV per atom
Excess energy over the best structure of this formula in the dataset: 0.000 eV per formula unit

a b c (Å): 5.211 5.211 7.365
angles (deg): 90.00 90.00 90.00
Sites, in units of the cell vectors:
La (0.000, 0.000, 0.000)
Pr (0.500, 0.500, 0.500)
Cd (0.000, 0.000, 0.500)
Cd (0.000, 0.500, 0.251)
Cd (0.000, 0.500, 0.749)
Cd (0.500, 0.000, 0.251)
Cd (0.500, 0.000, 0.749)
Cd (0.500, 0.500, 0.000)

***

3.
Below is an optimized crystal structure of LaPrCd, with properties calculated at the PBE level.

Results
Calculated volume: 33.652 Å³ per atom
Energy relative to the elements: 0.29 eV per atom
Excess energy over the best structure of this formula in the dataset: 0.000 eV per formula unit

a b c (Å): 5.227 5.227 5.227
angles (deg): 60.00 60.00 60.00
Sites, in units of the cell vectors:
La (0.000, 0.000, 0.000)
Pr (0.250, 0.250, 0.250)
Cd (0.500, 0.500, 0.500)

***

4.
Below is an optimized crystal structure of LaPrCd4, with properties calculated at the PBE level.

Results
Calculated volume: 25.829 Å³ per atom
Energy relative to the elements: -0.37 eV per atom

a b c (Å): 3.441 5.101 8.830
angles (deg): 90.00 90.01 90.00
Sites, in units of the cell vectors:
La (0.000, 0.000, 0.000)
Pr (0.000, 0.500, 0.500)
Cd (0.496, 0.000, 0.665)
Cd (0.496, 0.500, 0.168)
Cd (0.504, 0.000, 0.335)
Cd (0.504, 0.500, 0.832)

***

5.
Below is an optimized crystal structure of La2PrCd4Si4, with properties calculated at the PBE level.

Results
Calculated volume: 23.028 Å³ per atom
Electronic total energy: -44.48 eV per cell

a b c (Å): 13.626 13.626 13.626
angles (deg): 161.77 161.33 26.21
Sites, in units of the cell vectors:
La (0.143, 0.143, 0.000)
La (0.857, 0.857, 0.000)
Pr (0.500, 0.000, 0.500)
Cd (0.250, 0.750, 0.500)
Cd (0.408, 0.408, 0.000)
Cd (0.592, 0.592, 0.000)
Cd (0.750, 0.250, 0.500)
Si (0.044, 0.544, 0.500)
Si (0.312, 0.312, 0.000)
Si (0.688, 0.688, 0.000)
Si (0.956, 0.456, 0.500)

***

6.
Below is an optimized crystal structure of LaPrCd2Sn2, with properties calculated at the PBE level.

Results
Calculated volume: 27.992 Å³ per atom
Excess energy over the best structure of this formula in the dataset: 0.104 eV per formula unit

a b c (Å): 4.838 4.838 16.574
angles (deg): 90.00 90.00 120.00
Sites, in units of the cell vectors:
La (0.000, 0.000, 0.250)
La (0.000, 0.000, 0.750)
Pr (0.000, 0.000, 0.000)
Pr (0.000, 0.000, 0.500)
Cd (0.333, 0.667, 0.151)
Cd (0.333, 0.667, 0.349)
Cd (0.667, 0.333, 0.651)
Cd (0.667, 0.333, 0.849)
Sn (0.333, 0.667, 0.609)
Sn (0.333, 0.667, 0.891)
Sn (0.667, 0.333, 0.109)
Sn (0.667, 0.333, 0.391)

***

7.
Below is an optimized crystal structure of LaPrCd2Sn2, with properties calculated at the PBE level.

Results
Calculated volume: 27.961 Å³ per atom
Excess energy over the best structure of this formula in the dataset: 0.000 eV per formula unit

a b c (Å): 4.836 4.836 16.568
angles (deg): 90.00 90.00 120.00
Sites, in units of the cell vectors:
La (0.000, 0.000, 0.000)
La (0.000, 0.000, 0.500)
Pr (0.000, 0.000, 0.250)
Pr (0.000, 0.000, 0.750)
Cd (0.333, 0.667, 0.153)
Cd (0.333, 0.667, 0.347)
Cd (0.667, 0.333, 0.653)
Cd (0.667, 0.333, 0.847)
Sn (0.333, 0.667, 0.609)
Sn (0.333, 0.667, 0.891)
Sn (0.667, 0.333, 0.109)
Sn (0.667, 0.333, 0.391)

***

8.
Below is an optimized crystal structure of LaPrTl2Cd2, with properties calculated at the PBE level.

Results
Calculated volume: 27.965 Å³ per atom
Electronic total energy: -18.61 eV per cell

a b c (Å): 4.994 4.994 7.767
angles (deg): 90.00 90.00 120.00
Sites, in units of the cell vectors:
La (0.000, 0.000, 0.000)
Pr (0.000, 0.000, 0.500)
Tl (0.333, 0.667, 0.210)
Tl (0.667, 0.333, 0.706)
Cd (0.333, 0.667, 0.786)
Cd (0.667, 0.333, 0.292)

***

9.
Below is an optimized crystal structure of LaCd2Pt2, with properties calculated at the PBE level.

Results
Calculated volume: 22.319 Å³ per atom
Energy relative to the elements: -0.72 eV per atom

a b c (Å): 7.195 7.195 7.195
angles (deg): 146.74 146.74 47.75
Sites, in units of the cell vectors:
La (0.000, 0.000, 0.000)
Cd (0.250, 0.750, 0.500)
Cd (0.750, 0.250, 0.500)
Pt (0.400, 0.400, 0.000)
Pt (0.600, 0.600, 0.000)

***

10.
Below is an optimized crystal structure of LaCd20Pt2, with properties calculated at the PBE level.

Results
Calculated volume: 21.402 Å³ per atom
Energy relative to the elements: -0.20 eV per atom

a b c (Å): 11.166 11.166 11.166
angles (deg): 60.00 60.00 60.00
Sites, in units of the cell vectors:
La (0.125, 0.125, 0.125)
La (0.875, 0.875, 0.875)
Cd (0.000, 0.000, 0.000)
Cd (0.000, 0.000, 0.500)
Cd (0.000, 0.500, 0.000)
Cd (0.056, 0.323, 0.323)
Cd (0.056, 0.323, 0.798)
Cd (0.056, 0.798, 0.323)
Cd (0.202, 0.677, 0.677)
Cd (0.202, 0.677, 0.944)
Cd (0.202, 0.944, 0.677)
Cd (0.237, 0.237, 0.513)
Cd (0.237, 0.513, 0.237)
Cd (0.237, 0.513, 0.513)
Cd (0.323, 0.056, 0.323)
Cd (0.323, 0.056, 0.798)
Cd (0.323, 0.323, 0.056)
Cd (0.323, 0.323, 0.798)
Cd (0.323, 0.798, 0.056)
Cd (0.323, 0.798, 0.323)
Cd (0.487, 0.487, 0.763)
Cd (0.487, 0.763, 0.487)
Cd (0.487, 0.763, 0.763)
Cd (0.500, 0.000, 0.000)
Cd (0.513, 0.237, 0.237)
Cd (0.513, 0.237, 0.513)
Cd (0.513, 0.513, 0.237)
Cd (0.677, 0.202, 0.677)
Cd (0.677, 0.202, 0.944)
Cd (0.677, 0.677, 0.202)
Cd (0.677, 0.677, 0.944)
Cd (0.677, 0.944, 0.202)
Cd (0.677, 0.944, 0.677)
Cd (0.763, 0.487, 0.487)
Cd (0.763, 0.487, 0.763)
Cd (0.763, 0.763, 0.487)
Cd (0.798, 0.056, 0.323)
Cd (0.798, 0.323, 0.056)
Cd (0.798, 0.323, 0.323)
Cd (0.944, 0.202, 0.677)
Cd (0.944, 0.677, 0.202)
Cd (0.944, 0.677, 0.677)
Pt (0.000, 0.500, 0.500)
Pt (0.500, 0.000, 0.500)
Pt (0.500, 0.500, 0.000)
Pt (0.500, 0.500, 0.500)

***

11.
Below is an optimized crystal structure of La2ZnCd3Pt2, with properties calculated at the PBE level.

Results
Calculated volume: 22.895 Å³ per atom
Energy relative to the elements: -0.70 eV per atom

a b c (Å): 5.497 5.497 8.469
angles (deg): 90.65 90.65 45.72
Sites, in units of the cell vectors:
La (0.000, 0.000, 0.000)
La (0.135, 0.135, 0.517)
Zn (0.417, 0.417, 0.712)
Cd (0.425, 0.425, 0.310)
Cd (0.705, 0.705, 0.810)
Cd (0.714, 0.714, 0.215)
Pt (0.294, 0.294, 0.004)
Pt (0.852, 0.852, 0.526)

***

12.
Below is an optimized crystal structure of LaPuCd, with properties calculated at the PBE level.

Results
Calculated volume: 30.990 Å³ per atom
Energy relative to the elements: 0.40 eV per atom

a b c (Å): 5.085 5.085 5.085
angles (deg): 60.00 60.00 60.00
Sites, in units of the cell vectors:
La (0.000, 0.000, 0.000)
Pu (0.250, 0.250, 0.250)
Cd (0.750, 0.750, 0.750)